Ba2TaAgS6 | OQMD | PBE-GGA | optimized geometry; DFT total energy = -5.374 eV per atom
1.0
0.000 4.968 4.968
4.968 0.000 4.968
4.968 4.968 0.000
Ba Ta Ag S
2 1 1 6
Direct
0.250 0.250 0.250 Ba
0.750 0.750 0.750 Ba
0.000 0.000 0.000 Ta
0.500 0.500 0.500 Ag
0.244 0.244 0.756 S
0.244 0.756 0.244 S
0.244 0.756 0.756 S
0.756 0.244 0.244 S
0.756 0.244 0.756 S
0.756 0.756 0.244 S